1.
The following is a PBE calculation of a geometry-optimized KSc2Tl structure, from Alexandria.

## Properties
The calculation puts the calculated total energy at -3.76 eV per atom. The value obtained for the mass density is 4.5 g cm⁻³. The formation energy is 271 meV/atom. The polymorph energy (0 for the lowest one) comes out at 168 meV/atom.

Structure (CIF):
```
data_KSc2Tl
_chemical_formula_sum 'K1 Sc2 Tl1'
_cell_length_a 3.407
_cell_length_b 5.170
_cell_length_c 7.073
_cell_angle_alpha 90.00
_cell_angle_beta 102.02
_cell_angle_gamma 90.00
_symmetry_space_group_name_H-M 'P 1'
_symmetry_Int_Tables_number 1
loop_
_symmetry_equiv_pos_as_xyz
'x,y,z'
loop_
_atom_site_label
_atom_site_fract_x
_atom_site_fract_y
_atom_site_fract_z
K1 0.000 0.000 0.000
Sc1 0.308 0.500 0.686
Sc2 0.692 0.500 0.314
Tl1 0.500 0.000 0.500
```

2.
The following is a PBE calculation of a geometry-optimized SrCaZn structure, from Alexandria.

## Properties
The calculation puts the calculated total energy at -1.79 eV per atom. The value obtained for the mass density is 3.2 g cm⁻³. The formation energy is -138 meV/atom. The polymorph energy (0 for the lowest one) comes out at 2 meV/atom.

Structure (CIF):
```
data_SrCaZn
_chemical_formula_sum 'Sr2 Ca2 Zn2'
_cell_length_a 3.850
_cell_length_b 3.850
_cell_length_c 13.708
_cell_angle_alpha 90.00
_cell_angle_beta 90.00
_cell_angle_gamma 90.00
_symmetry_space_group_name_H-M 'P 1'
_symmetry_Int_Tables_number 1
loop_
_symmetry_equiv_pos_as_xyz
'x,y,z'
loop_
_atom_site_label
_atom_site_fract_x
_atom_site_fract_y
_atom_site_fract_z
Sr1 0.000 0.000 0.000
Sr2 0.500 0.500 0.500
Ca1 0.000 0.000 0.268
Ca2 0.500 0.500 0.768
Zn1 0.000 0.000 0.646
Zn2 0.500 0.500 0.146
```

3.
The following is a PBE calculation of a geometry-optimized AcMgCd2Hg4 structure, from Alexandria.

## Properties
The calculation puts the calculated total energy at -1.34 eV per atom. The value obtained for the mass density is 10.5 g cm⁻³. The formation energy is -252 meV/atom.

Structure (CIF):
```
data_AcMgCd2Hg4
_chemical_formula_sum 'Ac1 Mg1 Cd2 Hg4'
_cell_length_a 9.729
_cell_length_b 9.729
_cell_length_c 9.729
_cell_angle_alpha 29.91
_cell_angle_beta 29.91
_cell_angle_gamma 29.91
_symmetry_space_group_name_H-M 'P 1'
_symmetry_Int_Tables_number 1
loop_
_symmetry_equiv_pos_as_xyz
'x,y,z'
loop_
_atom_site_label
_atom_site_fract_x
_atom_site_fract_y
_atom_site_fract_z
Ac1 0.000 0.000 0.000
Mg1 0.500 0.500 0.500
Cd1 0.246 0.246 0.246
Cd2 0.754 0.754 0.754
Hg1 0.131 0.131 0.131
Hg2 0.392 0.392 0.392
Hg3 0.608 0.608 0.608
Hg4 0.869 0.869 0.869
```

4.
The following is a PBE calculation of a geometry-optimized ZrIn2Rh5 structure, from Alexandria.

## Properties
The calculation puts the calculated total energy at -6.82 eV per atom. The value obtained for the mass density is 10.6 g cm⁻³. The formation energy is -469 meV/atom.

Structure (CIF):
```
data_ZrIn2Rh5
_chemical_formula_sum 'Zr2 In4 Rh10'
_cell_length_a 4.214
_cell_length_b 4.214
_cell_length_c 14.729
_cell_angle_alpha 90.00
_cell_angle_beta 90.00
_cell_angle_gamma 90.00
_symmetry_space_group_name_H-M 'P 1'
_symmetry_Int_Tables_number 1
loop_
_symmetry_equiv_pos_as_xyz
'x,y,z'
loop_
_atom_site_label
_atom_site_fract_x
_atom_site_fract_y
_atom_site_fract_z
Zr1 0.000 0.000 0.000
Zr2 0.500 0.500 0.500
In1 0.000 0.000 0.250
In2 0.000 0.000 0.750
In3 0.500 0.500 0.250
In4 0.500 0.500 0.750
Rh1 0.000 0.000 0.500
Rh2 0.000 0.500 0.125
Rh3 0.000 0.500 0.375
Rh4 0.000 0.500 0.625
Rh5 0.000 0.500 0.875
Rh6 0.500 0.000 0.125
Rh7 0.500 0.000 0.375
Rh8 0.500 0.000 0.625
Rh9 0.500 0.000 0.875
Rh10 0.500 0.500 0.000
```